Entry 1:
Density functional theory data (GGA-PBEsol) for an optimized crystal structure of MgBeSb2.

Cell: 3.6368 3.6368 7.6356 Å, 76.22 76.22 60.00°
Last column: nearest neighbours and their distance in Å.
Element x y z (fractional)
Be (0.5000, 0.5000, 0.5000)  6 Sb 2.58
Sb (0.2351, 0.2351, 0.2948)  3 Be 2.58
Mg (0.0000, 0.0000, 0.0000)  6 Sb 3.02
Sb (0.7649, 0.7649, 0.7052)  3 Be 2.58

Calculated values
* uncorrected formation energy: 0.055 eV/atom
* polymorph energy (0 for the lowest one): 0.000 eV per atom


Entry 2:
Density functional theory data (GGA-PBEsol) for an optimized crystal structure of K2BaMo.

Cell: 6.1590 6.1879 6.1590 Å, 60.15 90.00 119.85°
Last column: nearest neighbours and their distance in Å.
Element x y z (fractional)
Mo (0.5000, 0.0000, 0.5000)  4 K 3.78, 4 Ba 3.78
Ba (0.7500, 0.5000, 0.7500)  4 Mo 3.78, 4 K 3.78
K (0.0000, 0.0000, 0.0000)  4 K 3.78, 4 Ba 3.78
K (0.2500, 0.5000, 0.2500)  4 Mo 3.78, 4 K 3.78

Calculated values
* polymorph energy (0 for the lowest one): 0.000 eV per atom


Entry 3:
Density functional theory data (GGA-PBEsol) for an optimized crystal structure of ZrCuBi2.

Cell: 5.0541 5.0541 5.0541 Å, 60.00 60.00 60.00°
Last column: nearest neighbours and their distance in Å.
Element x y z (fractional)
Bi (0.2500, 0.2500, 0.2500)  4 Zr 3.09, 4 Cu 3.09
Cu (0.0000, 0.0000, 0.0000)  8 Bi 3.09
Bi (0.7500, 0.7500, 0.7500)  4 Cu 3.09, 4 Zr 3.09
Zr (0.5000, 0.5000, 0.5000)  8 Bi 3.09


no.,energy (eV for the cell shown),volume (Å³ per cell),D(E_F) (states/eV/cell)
1,-14.61,84.1,1.7
2,-11.25,166.7,4.0
3,-21.16,91.3,2.6